An optimized crystal structure of Ce2DyEr3Se6, computed with PBE-GGA.

Calculated values
- E_form (uncorrected): -1.76 eV/atom

Cell lengths 9.196, 9.196, 8.278 Å; angles 103.95, 103.95, 25.53 degrees
Atoms (fractional coordinates):
1 Ce 0.168 0.168 0.336
2 Ce 0.832 0.832 0.664
3 Dy 0.500 0.500 0.000
4 Er 0.168 0.168 0.833
5 Er 0.500 0.500 0.500
6 Er 0.832 0.832 0.167
7 Se 0.004 0.004 0.750
8 Se 0.333 0.333 0.927
9 Se 0.337 0.337 0.408
10 Se 0.663 0.663 0.592
11 Se 0.667 0.667 0.073
12 Se 0.996 0.996 0.250



An optimized crystal structure of Ce2DyErSe4, computed with PBE-GGA.

Calculated values
- E_form (uncorrected): -1.79 eV/atom

Cell lengths 7.098, 4.085, 7.267 Å; angles 90.00, 108.90, 90.00 degrees
Atoms (fractional coordinates):
1 Ce 0.000 0.000 0.000
2 Ce 0.500 0.500 0.000
3 Dy 0.000 0.500 0.500
4 Er 0.500 0.000 0.500
5 Se 0.247 0.000 0.737
6 Se 0.257 0.500 0.265
7 Se 0.743 0.500 0.735
8 Se 0.753 0.000 0.263



An optimized crystal structure of Ce2SmDy6Er3, computed with PBE-GGA.

Calculated values
- Final energy: -4.77 eV per atom

Cell lengths 6.121, 6.121, 11.718 Å; angles 95.00, 95.00, 119.99 degrees
Atoms (fractional coordinates):
1 Ce 0.167 0.833 0.000
2 Ce 0.833 0.167 0.000
3 Sm 0.500 0.500 0.000
4 Dy 0.080 0.416 0.749
5 Dy 0.248 0.248 0.251
6 Dy 0.416 0.080 0.749
7 Dy 0.584 0.920 0.251
8 Dy 0.752 0.752 0.749
9 Dy 0.920 0.584 0.251
10 Er 0.000 0.000 0.500
11 Er 0.334 0.666 0.500
12 Er 0.666 0.334 0.500



Repeat the third record exactly.
An optimized crystal structure of Ce2SmDy6Er3, computed with PBE-GGA.

Calculated values
- Final energy: -4.77 eV per atom

Cell lengths 6.121, 6.121, 11.718 Å; angles 95.00, 95.00, 119.99 degrees
Atoms (fractional coordinates):
1 Ce 0.167 0.833 0.000
2 Ce 0.833 0.167 0.000
3 Sm 0.500 0.500 0.000
4 Dy 0.080 0.416 0.749
5 Dy 0.248 0.248 0.251
6 Dy 0.416 0.080 0.749
7 Dy 0.584 0.920 0.251
8 Dy 0.752 0.752 0.749
9 Dy 0.920 0.584 0.251
10 Er 0.000 0.000 0.500
11 Er 0.334 0.666 0.500
12 Er 0.666 0.334 0.500



Number 1 is which compound? Ce2DyEr3Se6